An optimized crystal structure of ErTmSn2Os2. Source: the Open Quantum Materials Database, functional GGA-PBE.

abc: 4.497 4.497 6.689
angles: 90.00 90.00 90.00
Positions (direct):
1 Os 0.000 0.500 0.999
2 Os 0.500 0.000 0.999
3 Sn 0.000 0.000 0.764
4 Sn 0.500 0.500 0.235
5 Er 0.000 0.000 0.281
6 Tm 0.500 0.500 0.721

Calculated values
- E: -0.2544 hartree per atom

=====

An optimized crystal structure of ErTmSn2Os. Source: the Open Quantum Materials Database, functional GGA-PBE.

abc: 5.855 5.855 10.957
angles: 112.97 112.97 44.25
Positions (direct):
1 Os 0.281 0.281 0.176
2 Os 0.717 0.717 0.824
3 Sn 0.344 0.344 0.951
4 Sn 0.534 0.534 0.386
5 Sn 0.655 0.655 0.049
6 Sn 0.464 0.464 0.614
7 Er 0.813 0.813 0.370
8 Er 0.184 0.184 0.630
9 Tm 0.998 0.998 0.830
10 Tm 0.001 0.001 0.171

Calculated values
- E: -0.2258 hartree per atom

=====

An optimized crystal structure of SrErOs. Source: the Open Quantum Materials Database, functional GGA-PBE.

abc: 4.883 4.883 4.883
angles: 60.00 60.00 60.00
Positions (direct):
1 Sr 0.750 0.750 0.750
2 Os 0.000 0.000 0.000
3 Er 0.250 0.250 0.250

Calculated values
- Energy relative to the lowest polymorph listed for this composition: 0 kJ/mol of formula units

=====

An optimized crystal structure of ErTaOs. Source: the Open Quantum Materials Database, functional GGA-PBE.

abc: 8.151 8.151 8.151
angles: 31.41 31.41 31.41
Positions (direct):
1 Os 0.135 0.135 0.135
2 Os 0.865 0.865 0.865
3 Ta 0.444 0.444 0.444
4 Ta 0.556 0.556 0.556
5 Er 0.283 0.283 0.283
6 Er 0.717 0.717 0.717

Calculated values
- Formation energy from the elements: 0.267 eV/atom

=====

An optimized crystal structure of Er2Tc3Os. Source: the Open Quantum Materials Database, functional GGA-PBE.

abc: 5.282 5.282 8.951
angles: 90.00 90.00 120.00
Positions (direct):
1 Tc 0.658 0.829 0.250
2 Tc 0.829 0.658 0.750
3 Tc 0.342 0.171 0.750
4 Tc 0.171 0.829 0.250
5 Tc 0.829 0.171 0.750
6 Tc 0.171 0.342 0.250
7 Er 0.333 0.667 0.937
8 Er 0.667 0.333 0.437
9 Er 0.333 0.667 0.563
10 Er 0.667 0.333 0.063
11 Os 0.000 0.000 0.500
12 Os 0.000 0.000 0.000

Calculated values
- Formation energy from the elements: -0.277 eV/atom

=====

An optimized crystal structure of Er2TcOs3. Source: the Open Quantum Materials Database, functional GGA-PBE.

abc: 5.353 5.353 8.646
angles: 90.00 90.00 120.00
Positions (direct):
1 Tc 0.000 0.000 0.500
2 Tc 0.000 0.000 0.000
3 Er 0.667 0.333 0.434
4 Er 0.333 0.667 0.934
5 Er 0.333 0.667 0.566
6 Er 0.667 0.333 0.066
7 Os 0.828 0.172 0.750
8 Os 0.172 0.345 0.250
9 Os 0.172 0.828 0.250
10 Os 0.828 0.655 0.750
11 Os 0.655 0.828 0.250
12 Os 0.345 0.172 0.750

Calculated values
- Formation energy from the elements: -0.334 eV/atom

=====

An optimized crystal structure of Er2Te6Os. Source: the Open Quantum Materials Database, functional GGA-PBE.

abc: 8.297 8.297 3.962
angles: 90.00 90.00 120.00
Positions (direct):
1 Te 0.000 0.228 0.500
2 Te 0.772 0.772 0.500
3 Te 0.228 0.000 0.500
4 Te 0.559 0.000 0.000
5 Te 0.000 0.559 0.000
6 Te 0.441 0.441 0.000
7 Os 0.000 0.000 0.000
8 Er 0.333 0.667 0.500
9 Er 0.667 0.333 0.500

Calculated values
- E: -0.1809 hartree per atom

=====

An optimized crystal structure of Er3Tm3Te2Os. Source: the Open Quantum Materials Database, functional GGA-PBE.

abc: 8.207 8.207 4.022
angles: 90.00 90.00 120.00
Positions (direct):
1 Te 0.667 0.333 0.000
2 Te 0.333 0.667 0.000
3 Er 0.000 0.240 0.000
4 Er 0.240 0.000 0.000
5 Er 0.760 0.760 0.000
6 Tm 0.387 0.387 0.500
7 Tm 0.000 0.613 0.500
8 Tm 0.613 0.000 0.500
9 Os 0.000 0.000 0.500

Calculated values
- Energy relative to the lowest polymorph listed for this composition: 18 kJ/mol of formula units